[1]
PBE RbP2BrCl, relaxed; space-group type = P4/mmm; ΔE_f (raw) = 1.011 eV/atom; polymorph energy (0 for the lowest one) = 656 meV per atom
1.0
7.4927 0.0000 0.0000
0.0000 7.4927 0.0000
0.0000 0.0000 6.0194
P Br Rb Cl
2 1 1 1
Direct
0.5000 0.0000 0.0000
0.0000 0.5000 0.0000
0.5000 0.5000 0.5000
0.0000 0.0000 0.0000
0.0000 0.0000 0.5000

---

[2]
PBE SrLa3Th2N6, relaxed; space-group type = C2/m; ΔE_f (raw) = -1.369 eV/atom
1.0
-0.0850 -1.2262 3.5255
-3.6955 -6.0994 -2.2105
7.8125 -1.5810 -2.3385
N Th La Sr
6 2 3 1
Direct
0.3266 0.4286 0.6531
0.6734 0.5714 0.3469
0.3248 0.8988 0.6496
0.6752 0.1012 0.3504
0.9883 0.7284 0.9766
0.0117 0.2716 0.0234
0.8343 0.6688 0.6687
0.1657 0.3312 0.3313
0.5000 0.5000 0.0000
0.8336 0.1645 0.6672
0.1664 0.8355 0.3328
0.5000 0.0000 0.0000

---

[3]
PBE NaCa3Sn, relaxed; space-group type = Pm-3m; polymorph energy (0 for the lowest one) = 512 meV per atom; formation enthalpy at 0 K = 0.361 eV per atom
1.0
-4.9169 1.3830 2.6197
-2.8604 -3.5367 -3.5016
0.7704 -4.3047 3.7185
Sn Ca Na
1 3 1
Direct
0.5000 0.5000 0.5000
0.0000 0.5000 0.0000
0.5000 0.0000 0.0000
0.0000 0.0000 0.5000
0.0000 0.0000 0.0000

---

[4]
PBE BaLiAl2Pd, relaxed; space-group type = P4/mmm; polymorph energy (0 for the lowest one) = 705 meV per atom; formation enthalpy at 0 K = 0.336 eV per atom
1.0
-3.4959 -3.1069 -0.2622
3.5302 -4.1022 1.5399
-1.0414 0.7922 4.4978
Al Ba Li Pd
2 1 1 1
Direct
0.0000 0.0000 0.5000
0.5000 0.0000 0.0000
0.0000 0.5000 0.0000
0.0000 0.0000 0.0000
0.5000 0.5000 0.5000

---

[5]
PBE La8Tb, relaxed; space-group type = I4/mmm; formation enthalpy at 0 K = 0.012 eV per atom
1.0
-1.4280 3.9798 -3.1476
-7.6476 2.3901 2.0778
2.2820 7.1194 3.5526
La Tb
8 1
Direct
0.6664 0.6672 0.0000
0.3336 0.0000 0.3328
0.0000 0.3320 0.6680
0.6680 0.3320 0.3320
0.0000 0.6680 0.3320
0.6664 0.0000 0.6672
0.3320 0.6680 0.6680
0.3336 0.3328 0.0000
0.0000 0.0000 0.0000

---

[6]
PBE CaTcAs2, relaxed; space-group type = Fm-3m; polymorph energy (0 for the lowest one) = 168 meV per atom; formation enthalpy at 0 K = -0.282 eV per atom
1.0
0.0575 3.1911 3.3665
-3.7053 0.5522 2.7361
0.1808 -1.3193 4.4437
As Tc Ca
2 1 1
Direct
0.2500 0.2500 0.2500
0.7500 0.7500 0.7500
0.5000 0.5000 0.5000
0.0000 0.0000 0.0000

---

[7]
PBE LaFeW2, relaxed; space-group type = P4/mmm; polymorph energy (0 for the lowest one) = 84 meV per atom; formation enthalpy at 0 K = 0.585 eV per atom
1.0
2.8333 0.0350 0.0000
-0.0370 2.8333 0.0000
0.0000 0.0000 8.8294
Fe W La
1 2 1
Direct
0.5000 0.5000 0.2500
0.0000 0.0000 0.4385
0.0000 0.0000 0.0615
0.5000 0.5000 0.7500

---

[8]
PBE CrCd2Ru, relaxed; space-group type = Imm2; polymorph energy (0 for the lowest one) = 209 meV per atom; formation enthalpy at 0 K = 0.370 eV per atom
1.0
-4.4995 0.9256 3.1248
-4.4639 -3.2162 -0.7724
5.3536 0.4077 1.4280
Cd Cr Ru
2 1 1
Direct
0.0130 0.0130 0.0000
0.7381 0.2381 0.5000
0.4738 0.4738 0.0000
0.2751 0.7751 0.5000

---

[9]
PBE CaTm2Se3, relaxed; space-group type = Immm; ΔE_f (raw) = -1.769 eV/atom
1.0
3.8824 0.0000 -1.1752
-0.7112 5.1902 -2.3497
0.0167 0.0209 7.0559
Tm Se Ca
2 3 1
Direct
0.8362 0.8362 0.1725
0.1638 0.1638 0.8275
0.5000 0.0000 0.5000
0.1708 0.6708 0.8417
0.8292 0.3292 0.1583
0.5000 0.5000 0.5000

---

[10]
PBE Os2RuCl, relaxed; space-group type = P4/mmm; ΔE_f (raw) = 1.289 eV/atom; polymorph energy (0 for the lowest one) = 782 meV per atom
1.0
-2.4244 1.8867 -3.4263
0.7162 -3.7488 -2.5710
-2.3261 -1.1419 1.0171
Ru Os Cl
1 2 1
Direct
0.5000 0.0000 0.5000
0.5000 0.5000 0.0000
0.0000 0.0000 0.0000
0.0000 0.5000 0.5000

---

[11]
PBE CeLu2Pb, relaxed; space-group type = R-3m; polymorph energy (0 for the lowest one) = 100 meV per atom; formation enthalpy at 0 K = -0.119 eV per atom
1.0
-0.7788 -2.3583 -2.4478
-2.3610 -2.4807 0.6573
-8.9132 4.8798 -4.3495
Lu Pb Ce
2 1 1
Direct
0.2479 0.2479 0.2563
0.7521 0.7521 0.7437
0.5000 0.5000 0.5000
0.0000 0.0000 0.0000

---

[12]
PBE MgNbTe2, relaxed; space-group type = I-42d; ΔE_f (raw) = -0.059 eV/atom
1.0
-1.4850 1.2619 -6.2949
5.9730 -2.0973 -1.8295
-0.0078 -6.2706 -4.7043
Mg Nb Te
2 2 4
Direct
0.5000 0.5000 0.0000
0.2500 0.7500 0.5000
0.7500 0.2500 0.5000
0.0000 0.0000 0.0000
0.6263 0.1250 0.2500
0.1237 0.6250 0.2500
0.8750 0.8763 0.7500
0.3750 0.3737 0.7500

---

[13]
PBE Cs3Np3HgSe8, relaxed; space-group type = C2/m; ΔE_f (raw) = -1.050 eV/atom
1.0
8.4850 0.0000 0.0000
-4.2425 7.3460 -0.0290
0.0000 -4.8627 8.4513
Se Cs Np Hg
8 3 3 1
Direct
0.2720 0.5440 0.3159
0.7654 0.5307 0.3176
0.2888 0.0528 0.3165
0.2359 0.9472 0.6835
0.7112 0.9472 0.6835
0.2346 0.4693 0.6824
0.7641 0.0528 0.3165
0.7280 0.4560 0.6841
0.0000 0.0000 0.0000
0.5000 0.5000 0.0000
0.0000 0.5000 0.0000
0.5000 0.5000 0.5000
0.5000 0.0000 0.5000
0.0000 0.5000 0.5000
0.0000 0.0000 0.5000

---

[14]
PBE LiTl2Hg3, relaxed; space-group type = P2/m; polymorph energy (0 for the lowest one) = 0 meV per atom; formation enthalpy at 0 K = -0.105 eV per atom
1.0
5.1569 0.0013 0.0201
2.5804 7.8316 0.0101
-0.0295 0.0000 7.6277
Li Tl Hg
2 4 6
Direct
0.6559 0.6874 0.0000
0.3441 0.3126 0.0000
0.6614 0.6753 0.5000
0.0000 0.0000 0.0000
0.3386 0.3247 0.5000
0.0000 0.0000 0.5000
0.5000 0.0000 0.7653
0.1836 0.6337 0.2091
0.1835 0.6337 0.7909
0.8164 0.3663 0.7909
0.8165 0.3663 0.2091
0.5000 0.0000 0.2347

---

[15]
PBE SnSb2Os, relaxed; space-group type = I-42d; ΔE_f (raw) = 0.478 eV/atom; polymorph energy (0 for the lowest one) = 0 meV per atom
1.0
-0.2770 -5.5296 -3.2517
3.4043 2.6319 -4.7655
6.7701 -3.2967 -1.3098
Sb Sn Os
4 2 2
Direct
0.0707 0.6250 0.2500
0.3750 0.3207 0.7500
0.6793 0.1250 0.2500
0.8750 0.9293 0.7500
0.5000 0.5000 0.0000
0.2500 0.7500 0.5000
0.7500 0.2500 0.5000
0.0000 0.0000 0.0000

---

[16]
PBE Ca2MgFe, relaxed; space-group type = C2/m; formation enthalpy at 0 K = 0.378 eV per atom
1.0
5.2571 0.8220 -0.2860
-0.8243 5.2567 -0.2860
0.1610 0.2207 3.7471
Mg Ca Fe
1 2 1
Direct
0.0000 0.5000 0.5000
0.0000 0.0000 0.0000
0.5000 0.5000 0.0000
0.5000 0.0000 0.5000

---

[17]
PBE K3ZrSe3, relaxed; space-group type = P2_1/c; ΔE_f (raw) = -1.226 eV/atom
1.0
8.2937 -0.0655 0.0000
-1.7640 8.5599 0.0000
0.0000 0.0000 13.6568
Zr K Se
4 12 12
Direct
0.0955 0.1526 0.0547
0.4045 0.3474 0.5547
0.5955 0.6526 0.4453
0.9045 0.8474 0.9453
0.8085 0.9356 0.6808
0.8829 0.4745 0.6389
0.6171 0.0255 0.1389
0.3829 0.9745 0.8611
0.7589 0.3954 0.9249
0.1171 0.5255 0.3611
0.2589 0.8954 0.5751
0.1915 0.0644 0.3192
0.6915 0.5644 0.1808
0.2411 0.6046 0.0751
0.3085 0.4356 0.8192
0.7411 0.1046 0.4249
0.4716 0.6357 0.6236
0.0509 0.6845 0.8305
0.4491 0.8155 0.3305
0.9716 0.1357 0.8764
0.0936 0.2354 0.5364
0.0284 0.8643 0.1236
0.4064 0.2646 0.0364
0.5284 0.3643 0.3764
0.9491 0.3155 0.1695
0.5509 0.1845 0.6695
0.5936 0.7354 0.9636
0.9064 0.7646 0.4636

---

[18]
PBE PmTmSi2Pd2, relaxed; space-group type = P-3m1; ΔE_f (raw) = -0.925 eV/atom
1.0
-1.4012 -3.3872 -2.3337
2.5035 -0.6536 3.4911
-5.9094 -0.4207 4.1588
Pd Pm Si Tm
2 1 2 1
Direct
0.3333 0.6667 0.7106
0.6667 0.3333 0.2894
0.0000 0.0000 0.0000
0.6667 0.3333 0.7301
0.3333 0.6667 0.2699
0.0000 0.0000 0.5000

---

[19]
PBE BiPOs2Pt, relaxed; space-group type = P4/mmm; formation enthalpy at 0 K = 2.719 eV per atom
1.0
-2.3463 -2.5064 3.6538
2.0613 -4.2773 -1.6105
3.9071 0.7456 3.0204
Bi Os P Pt
1 2 1 1
Direct
0.0000 0.0000 0.0000
0.0000 0.5000 0.0000
0.5000 0.0000 0.0000
0.5000 0.5000 0.5000
0.0000 0.0000 0.5000

---

[20]
PBE YTm2Mg4, relaxed; space-group type = I4/mmm; polymorph energy (0 for the lowest one) = 0 meV per atom; formation enthalpy at 0 K = 0.151 eV per atom
1.0
-3.4778 -3.0565 2.7039
3.8907 -1.4119 3.4083
-1.8493 7.8035 1.1264
Tm Mg Y
2 4 1
Direct
0.2497 0.2497 0.4993
0.7503 0.7503 0.5007
0.1187 0.6187 0.2374
0.3813 0.8813 0.7626
0.8813 0.3813 0.7626
0.6187 0.1187 0.2374
0.0000 0.0000 0.0000

---

| no. | total magnetic moment (μB per cell) |
| --- | --- |
| 1 | 4.93 |
| 2 | 0.00 |
| 3 | 0.00 |
| 4 | 0.00 |
| 5 | 0.00 |
| 6 | 0.00 |
| 7 | 0.00 |
| 8 | 2.40 |
| 9 | 0.00 |
| 10 | 0.00 |
| 11 | 0.66 |
| 12 | 6.00 |
| 13 | 9.96 |
| 14 | 0.00 |
| 15 | 0.00 |
| 16 | 2.46 |
| 17 | 0.00 |
| 18 | 0.00 |
| 19 | 2.01 |
| 20 | 0.02 |